An optimized crystal structure of Pm2AlGaAu6, computed with GGA-PBE.

Values from the calculation:
Energy of formation from the pure elements ... -525 meV per atom
Symmetry ... No. 2
DOS(E_F) ... 4.5 states/eV per cell
Magnetization ... 0.00 μB/atom

Structure (POSCAR):
```
Pm2AlGaAu6
1.0
5.5557 0.0000 0.0000
2.5280 6.2193 0.0000
2.3949 0.3174 6.2879
Pm Al Ga Au
2 1 1 6
Direct
0.0048 0.2485 0.2358 Pm
0.9952 0.7515 0.7642 Pm
0.5000 0.0000 0.5000 Al
0.5000 0.5000 0.0000 Ga
0.0053 0.2187 0.7538 Au
0.3712 0.4020 0.4045 Au
0.4959 0.1787 0.8194 Au
0.5041 0.8213 0.1806 Au
0.6288 0.5980 0.5955 Au
0.9947 0.7813 0.2462 Au
```